The following is a DFT calculation (GGA-PBE) of a geometry-optimized RbUNbN4 structure.

Output
- Uncorrected energy: -121.55 eV for the cell shown
- E_form (uncorrected): -0.74 eV/atom

Unit cell a=6.0672 b=5.9363 c=7.7944 alpha=90.00 beta=104.39 gamma=90.00
Space group P2_1/m (No. 11)
Asymmetric unit:
Rb 0.1252 0.2500 0.1101 x2
U 0.1698 0.7500 0.4609 x2
Nb 0.3830 0.2500 0.6683 x2
N 0.1491 0.0123 0.6567 x4
N 0.2783 0.7500 0.2307 x2
N 0.4536 0.2500 0.4458 x2

***

The following is a DFT calculation (GGA-PBE) of a geometry-optimized Rb2ZrNbN structure.

Output
- Uncorrected energy: -22.36 eV for the cell shown
- E_form (uncorrected): 1.30 eV/atom

Unit cell a=7.2708 b=7.2708 c=4.0192 alpha=90.00 beta=90.00 gamma=90.00
Space group P4/mmm (No. 123)
Asymmetric unit:
Rb 0.0000 0.5000 0.0000 x2
Zr 0.0000 0.0000 0.0000 x1
Nb 0.5000 0.5000 0.5000 x1
N 0.0000 0.0000 0.5000 x1